No. 1
Material: Pm12FeSn6
Method: DFT, GGA-PBE
State: optimized geometry

abc: 8.738 8.738 8.738
angles: 98.94 98.94 98.94
Fractional coordinates of all 19 atoms:
Pm: 0.952 0.000 0.688
Pm: 0.196 0.427 0.561
Pm: 0.000 0.312 0.048
Pm: 0.000 0.688 0.952
Pm: 0.439 0.804 0.573
Pm: 0.048 0.000 0.312
Pm: 0.427 0.561 0.196
Pm: 0.573 0.439 0.804
Pm: 0.804 0.573 0.439
Pm: 0.561 0.196 0.427
Pm: 0.688 0.952 0.000
Pm: 0.312 0.048 0.000
Sn: 0.122 0.651 0.314
Sn: 0.686 0.878 0.349
Sn: 0.878 0.349 0.686
Sn: 0.314 0.122 0.651
Sn: 0.349 0.686 0.878
Sn: 0.651 0.314 0.122
Fe: 0.000 0.000 0.000

## Properties
Crystal system: trigonal
DFT total energy in eV for the cell shown: -96.09
Density in g/cm3: 6.5

No. 2
Material: SrPm3Fe
Method: DFT, GGA-PBE
State: optimized geometry

abc: 5.512 5.512 5.512
angles: 90.00 90.00 90.00
Fractional coordinates of all 5 atoms:
Pm: 0.500 0.000 0.000
Pm: 0.000 0.000 0.500
Pm: 0.000 0.500 0.000
Fe: 0.000 0.000 0.000
Sr: 0.500 0.500 0.500

## Properties
Crystal system: cubic
DFT total energy in eV for the cell shown: -23.74
Density in g/cm3: 5.7